VASP calculation (PBE-GGA) on crystalline Mg2Ga8Cu at its relaxed geometry.

Calculated values
Calculated formation energy in eV/atom: -0.085
Space-group type: No. 123
Density of states at the Fermi level in states/eV/f.u.: 2.2
E_tot in eV for the cell shown: -32.43

abc: 4.3358 4.3358 10.6454
angles: 90.00 90.00 90.00
Closest atoms and distances in Å follow each position.
Atoms (fractional coordinates):
1 Mg 0.0000 0.0000 0.1871  12 Ga 2.91-3.07
2 Mg 0.0000 0.0000 0.8129  12 Ga 2.91-3.07
3 Ga 0.0000 0.5000 0.0000  4 Mg 2.94, 8 Ga 2.98-3.07
4 Ga 0.0000 0.5000 0.3697  2 Cu 2.57, 3 Ga 2.77-2.87
5 Ga 0.0000 0.5000 0.6303  2 Cu 2.57, 3 Ga 2.77-2.87
6 Ga 0.5000 0.0000 0.0000  4 Mg 2.94, 8 Ga 2.98-3.07
7 Ga 0.5000 0.0000 0.3697  2 Cu 2.57, 3 Ga 2.77-2.87
8 Ga 0.5000 0.0000 0.6303  2 Cu 2.57, 3 Ga 2.77-2.87
9 Ga 0.5000 0.5000 0.1924  8 Ga 2.87-2.98, 4 Mg 3.07
10 Ga 0.5000 0.5000 0.8076  8 Ga 2.87-2.98, 4 Mg 3.07
11 Cu 0.0000 0.0000 0.5000  8 Ga 2.57